Density functional theory data (PBE) for an optimized crystal structure of PNCl2.

Cell: 11.7573 11.7573 7.5773 Å, 90.00 90.00 90.00°
Positions (direct):
P: 0.1576 0.7498 0.7501
P: 0.6576 0.2498 0.7499
P: 0.8424 0.2502 0.7501
P: 0.3424 0.7502 0.7499
P: 0.2502 0.1576 0.2499
P: 0.7502 0.6576 0.2501
P: 0.2498 0.3424 0.2501
P: 0.7498 0.8424 0.2499
N: 0.3561 0.2502 0.2496
N: 0.6439 0.7498 0.2496
N: 0.8561 0.7502 0.2504
N: 0.2498 0.8561 0.7496
N: 0.2502 0.6439 0.7504
N: 0.7502 0.1439 0.7496
N: 0.1439 0.2498 0.2504
N: 0.7498 0.3561 0.7504
Cl: 0.2500 0.0510 0.0438
Cl: 0.2493 0.4493 0.0445
Cl: 0.7507 0.5507 0.0445
Cl: 0.9493 0.2507 0.5445
Cl: 0.4493 0.7507 0.9555
Cl: 0.4490 0.7500 0.5438
Cl: 0.0507 0.7493 0.5445
Cl: 0.0510 0.7500 0.9562
Cl: 0.2507 0.0507 0.4555
Cl: 0.7500 0.5510 0.4562
Cl: 0.2500 0.4490 0.4562
Cl: 0.5507 0.2493 0.9555
Cl: 0.9490 0.2500 0.9562
Cl: 0.7500 0.9490 0.0438
Cl: 0.5510 0.2500 0.5438
Cl: 0.7493 0.9493 0.4555

## Properties
uncorrected formation energy	-380.0	meV per atom
E	-4.7371	eV per atom
distance to the lowest polymorph of the same formula	199.7	meV/atom

---

Density functional theory data (PBE) for an optimized crystal structure of PNCl2.

Cell: 6.1887 6.1887 6.3688 Å, 60.93 60.93 90.00°
Positions (direct):
P: 0.0000 0.0000 0.0000
P: 0.7500 0.2500 0.5000
N: 0.5000 0.5000 0.0000
N: 0.2500 0.7500 0.5000
Cl: 0.3750 0.1250 0.2500
Cl: 0.3750 0.6250 0.2500
Cl: 0.3750 0.6250 0.7500
Cl: 0.8750 0.6250 0.7500

## Properties
uncorrected formation energy	1665.5	meV per atom
E	-2.6916	eV per atom
distance to the lowest polymorph of the same formula	2245.2	meV/atom

---

Density functional theory data (PBE) for an optimized crystal structure of PNCl2.

Cell: 6.6964 16.5354 20.3740 Å, 90.00 90.00 90.00°
Positions (direct):
P: 0.6761 0.1361 0.1613
P: 0.5147 0.1179 0.6349
P: 0.1488 0.4162 0.5011
P: 0.6538 0.9948 0.7359
P: 0.0147 0.3821 0.3651
P: 0.3239 0.6361 0.3387
P: 0.1538 0.5052 0.2641
P: 0.1880 0.4195 0.9812
P: 0.8120 0.9195 0.5188
P: 0.6488 0.0838 0.4989
P: 0.8462 0.0052 0.2359
P: 0.3462 0.4948 0.7641
P: 0.3512 0.5838 0.0011
P: 0.8239 0.8639 0.6613
P: 0.9853 0.8821 0.1349
P: 0.4853 0.6179 0.8651
P: 0.1761 0.3639 0.8387
P: 0.6880 0.0805 0.0188
P: 0.8512 0.9162 0.9989
P: 0.3120 0.5805 0.4812
N: 0.2044 0.4095 0.9051
N: 0.5157 0.1129 0.5580
N: 0.2505 0.5913 0.2747
N: 0.7495 0.0913 0.2253
N: 0.9843 0.8871 0.0580
N: 0.7505 0.9087 0.7253
N: 0.8083 0.0087 0.9876
N: 0.2495 0.4087 0.7747
N: 0.1917 0.5087 0.5124
N: 0.3083 0.4913 0.0124
N: 0.9128 0.9589 0.1727
N: 0.5872 0.0411 0.6727
N: 0.0157 0.3871 0.4420
N: 0.4128 0.5411 0.8273
N: 0.6917 0.9913 0.4876
N: 0.4843 0.6129 0.9420
N: 0.2956 0.5905 0.4051
N: 0.7956 0.9095 0.5949
N: 0.7044 0.0905 0.0949
N: 0.0872 0.4589 0.3273
Cl: 0.6877 0.7545 0.6584
Cl: 0.6137 0.6674 0.3248
Cl: 0.2812 0.3189 0.0282
Cl: 0.1704 0.2832 0.3351
Cl: 0.3957 0.0736 0.9929
Cl: 0.4937 0.6213 0.0823
Cl: 0.6556 0.9376 0.2903
Cl: 0.2324 0.1461 0.6605
Cl: 0.1877 0.7455 0.3416
Cl: 0.8957 0.4264 0.0071
Cl: 0.1556 0.5624 0.7097
Cl: 0.3444 0.4376 0.2097
Cl: 0.4215 0.9799 0.7982
Cl: 0.5785 0.4799 0.7018
Cl: 0.8863 0.3326 0.8248
Cl: 0.8123 0.2455 0.1584
Cl: 0.3296 0.7168 0.8351
Cl: 0.2188 0.6811 0.5282
Cl: 0.0785 0.0201 0.2982
Cl: 0.2676 0.8539 0.1605
Cl: 0.8296 0.7832 0.1649
Cl: 0.9082 0.1475 0.4966
Cl: 0.6704 0.2168 0.6649
Cl: 0.7676 0.6461 0.8395
Cl: 0.6043 0.5736 0.5071
Cl: 0.0918 0.6475 0.0034
Cl: 0.9215 0.5201 0.2018
Cl: 0.9937 0.8787 0.9177
Cl: 0.3123 0.2545 0.8416
Cl: 0.1137 0.8326 0.6752
Cl: 0.3863 0.1674 0.1752
Cl: 0.7188 0.8189 0.4718
Cl: 0.7812 0.1811 0.9718
Cl: 0.5063 0.1213 0.4177
Cl: 0.5918 0.8525 0.9966
Cl: 0.8444 0.0624 0.7903
Cl: 0.1043 0.9264 0.4929
Cl: 0.0063 0.3787 0.5823
Cl: 0.7324 0.3539 0.3395
Cl: 0.4082 0.3525 0.5034

## Properties
uncorrected formation energy	-579.7	meV per atom
E	-4.9368	eV per atom
distance to the lowest polymorph of the same formula	0.0	meV/atom

---

Density functional theory data (PBE) for an optimized crystal structure of PNCl2.

Cell: 11.7193 11.7193 6.4384 Å, 90.00 90.00 90.00°
Positions (direct):
Cl: 0.0941 0.2039 0.1629
Cl: 0.9059 0.7961 0.1629
Cl: 0.2961 0.5941 0.6629
Cl: 0.7039 0.4059 0.6629
Cl: 0.4059 0.2961 0.3371
Cl: 0.5941 0.7039 0.3371
Cl: 0.2039 0.9059 0.8371
Cl: 0.7961 0.0941 0.8371
Cl: 0.0468 0.3191 0.5973
Cl: 0.9532 0.6809 0.5973
Cl: 0.1809 0.5468 0.0973
Cl: 0.8191 0.4532 0.0973
Cl: 0.4532 0.1809 0.9027
Cl: 0.5468 0.8191 0.9027
Cl: 0.3191 0.9532 0.4027
Cl: 0.6809 0.0468 0.4027
N: 0.1287 0.0888 0.5725
N: 0.8713 0.9112 0.5725
N: 0.4112 0.6287 0.0725
N: 0.5888 0.3713 0.0725
N: 0.3713 0.4112 0.9275
N: 0.6287 0.5888 0.9275
N: 0.0888 0.8713 0.4275
N: 0.9112 0.1287 0.4275
P: 0.0401 0.1664 0.4527
P: 0.9599 0.8336 0.4527
P: 0.3336 0.5401 0.9527
P: 0.6664 0.4599 0.9527
P: 0.4599 0.3336 0.0473
P: 0.5401 0.6664 0.0473
P: 0.1664 0.9599 0.5473
P: 0.8336 0.0401 0.5473

## Properties
uncorrected formation energy	-575.2	meV per atom
E	-4.9323	eV per atom
distance to the lowest polymorph of the same formula	4.5	meV/atom